# Na2AlI6 PBE optimized geometry
# Formation energy (no corrections)   -613.5 kJ/mol of formula units
# Density of states at the Fermi level   0.321 states/eV/atom
# M_tot   0.0 μB/f.u.
# V   761 Å³ per cell
data_Na2AlI6
_symmetry_space_group_name_H-M 'C 1 2/m 1'
_symmetry_Int_Tables_number 12
_cell_length_a 14.739
_cell_length_b 7.107
_cell_length_c 8.842
_cell_angle_alpha 90.00
_cell_angle_beta 124.76
_cell_angle_gamma 90.00
loop_
_symmetry_equiv_pos_as_xyz
'x,y,z'
'-x,-y,-z'
'-x,y,-z'
'x,-y,z'
'x+1/2,y+1/2,z'
'-x+1/2,-y+1/2,-z'
'-x+1/2,y+1/2,-z'
'x+1/2,-y+1/2,z'
loop_
_atom_site_label
_atom_site_fract_x
_atom_site_fract_y
_atom_site_fract_z
Na1 0.175 0.000 0.096
Al1 0.000 0.500 0.000
I1 0.046 0.245 0.268
I2 0.226 0.500 0.138